The following is a DFT calculation (PBE) of a geometry-optimized Sm3Dy8Er2 structure.

Unit cell a=19.9945 b=7.6793 c=5.6321 alpha=90.00 beta=90.04 gamma=90.00
Space group C2/m (No. 12)
Unique sites:
Sm 0.0000 0.0000 0.0000 (multiplicity 2)
Sm 0.0000 0.2901 0.5000 (multiplicity 4)
Dy 0.1090 0.2906 0.0004 (multiplicity 8)
Dy 0.1347 0.0000 0.4996 (multiplicity 4)
Dy 0.1713 0.5000 0.5011 (multiplicity 4)
Er 0.2413 0.0000 0.9988 (multiplicity 4)

Energy above the most stable polymorph in this dataset: 221 meV per atom
Uncorrected energy: -4.382 eV/atom
Energy relative to the elements: 0.241 eV per atom